[1]
The following is a DFT calculation (PBE-GGA) of a relaxed TmGe crystal.

- Space-group type: Cmcm (63)
- Electronic total energy: -5.3887 eV per atom
- Magnetization: 0.0 μB per formula unit
- Crystal system: orthorhombic

a = 3.914 Å, b = 4.217 Å, c = 5.701 Å
α = 68.29°, β = 90.00°, γ = 90.00°
Fractional positions:
Ge (0.250, 0.587, 0.826)
Ge (0.750, 0.413, 0.174)
Tm (0.750, 0.138, 0.723)
Tm (0.250, 0.862, 0.277)



[2]
The following is a DFT calculation (PBE-GGA) of a relaxed BaZnAgGe2 crystal.

- Space-group type: I-4m2 (119)
- Electronic total energy: -3.4171 eV per atom
- Crystal system: tetragonal

a = 6.404 Å, b = 6.404 Å, c = 6.404 Å
α = 138.37°, β = 138.37°, γ = 60.33°
Fractional positions:
Ge (0.119, 0.119, 0.000)
Ge (0.881, 0.881, 0.000)
Ba (0.500, 0.500, 0.000)
Ag (0.250, 0.750, 0.500)
Zn (0.750, 0.250, 0.500)



[3]
The following is a DFT calculation (PBE-GGA) of a relaxed Y2PdSe4 crystal.

- Space-group type: Fd-3m (227)
- Electronic total energy: -5.8090 eV per atom
- Magnetization: 0.5 μB per formula unit
- Crystal system: cubic

a = 8.152 Å, b = 8.152 Å, c = 8.152 Å
α = 60.00°, β = 60.00°, γ = 60.00°
Last column: magnetic moment on the atom in μB.
Fractional positions:
Y (0.375, 0.375, 0.375)  0.01
Y (0.375, 0.875, 0.375)  0.01
Y (0.875, 0.375, 0.375)  0.01
Y (0.375, 0.375, 0.875)  0.01
Se (0.127, 0.127, 0.619)  0.04
Se (0.623, 0.623, 0.131)  0.04
Se (0.623, 0.131, 0.623)  0.03
Se (0.619, 0.127, 0.127)  0.01
Se (0.623, 0.623, 0.623)  0.03
Se (0.131, 0.623, 0.623)  0.01
Se (0.127, 0.619, 0.127)  0.03
Se (0.127, 0.127, 0.127)  0.03
Pd (0.750, 0.750, 0.750)  0.21
Pd (0.000, 0.000, 0.000)  0.21



[4]
The following is a DFT calculation (PBE-GGA) of a relaxed Fe2PS3 crystal.

- Space-group type: Pm (6)
- E above lowest polymorph: 0.000 eV/atom
- Magnetization: 0.9 μB per formula unit
- Crystal system: monoclinic

a = 4.554 Å, b = 3.265 Å, c = 5.465 Å
α = 90.00°, β = 91.15°, γ = 90.00°
Last column: magnetic moment on the atom in μB.
Fractional positions:
S (0.702, 0.500, 0.875)  -0.01
S (0.185, 0.000, 0.625)  0.04
S (0.298, 0.500, 0.128)  -0.01
Fe (0.501, 0.500, 0.501)  0.84
Fe (0.002, 0.000, 0.001)  0.01
P (0.811, 0.000, 0.370)  0.00